Entry 1:
First-principles (PBE-GGA) data for crystalline CdAgSCl2 at its relaxed geometry, as listed in Alexandria via LeMat-Bulk.

* symmetry: No. 123
* polymorph energy (0 for the lowest one): 0 meV/atom
* ΔE_f (raw): -22.7 meV per atom

POSCAR file:
```
CdAgSCl2
1.0
5.194 0.000 0.000
0.000 5.194 0.000
0.000 0.000 5.078
Cd Ag S Cl
1 1 1 2
Direct
0.000 0.000 0.000 Cd
0.500 0.500 0.500 Ag
0.000 0.000 0.500 S
0.000 0.500 0.000 Cl
0.500 0.000 0.000 Cl
```


Entry 2:
First-principles (PBE-GGA) data for crystalline CdAgSCl2 at its relaxed geometry, as listed in Alexandria via LeMat-Bulk.

* symmetry: No. 123
* polymorph energy (0 for the lowest one): 40 meV/atom
* ΔE_f (raw): 17.6 meV per atom

POSCAR file:
```
CdAgSCl2
1.0
4.861 0.000 0.000
0.000 4.861 0.000
0.000 0.000 5.175
Cd Ag S Cl
1 1 1 2
Direct
0.000 0.000 0.000 Cd
0.500 0.500 0.500 Ag
0.500 0.500 0.000 S
0.000 0.500 0.500 Cl
0.500 0.000 0.500 Cl
```


Entry 3:
First-principles (PBE-GGA) data for crystalline CdAgSeCl at its relaxed geometry, as listed in Alexandria via LeMat-Bulk.

* symmetry: No. 8
* ΔE_f (raw): -544.0 meV per atom

POSCAR file:
```
CdAgSeCl
1.0
3.767 -2.172 0.000
3.767 2.172 0.000
-2.515 0.000 7.086
Cd Ag Se Cl
1 1 1 1
Direct
0.000 0.000 0.000 Cd
0.510 0.510 0.523 Ag
0.630 0.630 0.888 Se
0.127 0.127 0.374 Cl
```


Entry 4:
First-principles (PBE-GGA) data for crystalline CdAgSnCl5 at its relaxed geometry, as listed in Alexandria via LeMat-Bulk.

* symmetry: No. 15
* ΔE_f (raw): -816.7 meV per atom

POSCAR file:
```
CdAgSnCl5
1.0
4.235 -5.997 0.000
4.235 5.997 0.000
-3.838 0.000 9.075
Cd Ag Sn Cl
2 2 2 10
Direct
0.000 0.500 0.000 Cd
0.500 0.000 0.500 Cd
0.065 0.935 0.750 Ag
0.935 0.065 0.250 Ag
0.428 0.572 0.750 Sn
0.572 0.428 0.250 Sn
0.211 0.766 0.564 Cl
0.231 0.309 0.904 Cl
0.234 0.789 0.936 Cl
0.309 0.231 0.404 Cl
0.343 0.657 0.250 Cl
0.657 0.343 0.750 Cl
0.691 0.769 0.596 Cl
0.766 0.211 0.064 Cl
0.769 0.691 0.096 Cl
0.789 0.234 0.436 Cl
```


Entry 5:
First-principles (PBE-GGA) data for crystalline SrCdAg2Cl6 at its relaxed geometry, as listed in Alexandria via LeMat-Bulk.

* symmetry: No. 99
* ΔE_f (raw): -1104.7 meV per atom

POSCAR file:
```
SrCdAg2Cl6
1.0
7.633 0.000 0.000
0.000 7.633 0.000
0.000 0.000 5.703
Sr Cd Ag Cl
1 1 2 6
Direct
0.000 0.000 0.000 Sr
0.500 0.500 0.966 Cd
0.000 0.500 0.170 Ag
0.500 0.000 0.170 Ag
0.000 0.000 0.513 Cl
0.263 0.263 0.097 Cl
0.263 0.737 0.097 Cl
0.500 0.500 0.543 Cl
0.737 0.263 0.097 Cl
0.737 0.737 0.097 Cl
```


Entry 6:
First-principles (PBE-GGA) data for crystalline TiCd2AgCl at its relaxed geometry, as listed in Alexandria via LeMat-Bulk.

* symmetry: No. 123
* ΔE_f (raw): 767.3 meV per atom

POSCAR file:
```
TiCd2AgCl
1.0
5.482 0.000 0.000
0.000 5.482 0.000
0.000 0.000 4.694
Ti Cd Ag Cl
1 2 1 1
Direct
0.000 0.000 0.000 Ti
0.000 0.500 0.500 Cd
0.500 0.000 0.500 Cd
0.500 0.500 0.000 Ag
0.500 0.500 0.500 Cl
```


Entry 7:
First-principles (PBE-GGA) data for crystalline TlCd2AgCl8 at its relaxed geometry, as listed in Alexandria via LeMat-Bulk.

* symmetry: No. 10
* ΔE_f (raw): -807.3 meV per atom

POSCAR file:
```
TlCd2AgCl8
1.0
6.186 0.000 0.000
0.000 7.861 0.000
-0.051 0.000 6.595
Tl Cd Ag Cl
1 2 1 8
Direct
0.000 0.000 0.000 Tl
0.500 0.255 0.500 Cd
0.500 0.745 0.500 Cd
0.000 0.500 0.000 Ag
0.235 0.240 0.156 Cl
0.235 0.760 0.156 Cl
0.268 0.000 0.653 Cl
0.275 0.500 0.656 Cl
0.725 0.500 0.344 Cl
0.732 0.000 0.347 Cl
0.765 0.240 0.844 Cl
0.765 0.760 0.844 Cl
```


Entry 8:
First-principles (PBE-GGA) data for crystalline TlCdAg2Cl8 at its relaxed geometry, as listed in Alexandria via LeMat-Bulk.

* symmetry: No. 10
* ΔE_f (raw): -643.0 meV per atom

POSCAR file:
```
TlCdAg2Cl8
1.0
6.394 0.000 0.000
0.000 7.744 0.000
-0.762 0.000 6.688
Tl Cd Ag Cl
1 1 2 8
Direct
0.000 0.000 0.000 Tl
0.000 0.500 0.000 Cd
0.500 0.253 0.500 Ag
0.500 0.747 0.500 Ag
0.211 0.247 0.849 Cl
0.211 0.753 0.849 Cl
0.280 0.500 0.339 Cl
0.285 0.000 0.341 Cl
0.715 0.000 0.659 Cl
0.720 0.500 0.661 Cl
0.789 0.247 0.151 Cl
0.789 0.753 0.151 Cl
```


no.,volume (A^3/atom)
1,27.401
2,24.453
3,28.993
4,28.806
5,33.228
6,28.211
7,26.722
8,27.596